1.
Computed, not measured: a relaxed structure of Tb2ZnIr at the GGA-PBE level of DFT.

a = 7.0001 Å, b = 7.0001 Å, c = 7.0001 Å
α = 90.00°, β = 90.00°, γ = 90.00°
Space group Fm-3m (No. 225)
Inequivalent atoms, fractional coordinates:
Tb 0.2500 0.2500 0.2500 [8 per cell]
Zn 0.0000 0.0000 0.0000 [4 per cell]
Ir 0.0000 0.0000 0.5000 [4 per cell]

Properties
ΔH_f (0 K): -2.45 eV/f.u.
raw total energy: -5.4607 eV/atom
crystal system: cubic

2.
Computed, not measured: a relaxed structure of TbZn6Ir2 at the GGA-PBE level of DFT.

a = 4.3911 Å, b = 5.7023 Å, c = 12.0199 Å
α = 90.00°, β = 90.00°, γ = 90.00°
Space group Immm (No. 71)
Inequivalent atoms, fractional coordinates:
Tb 0.0000 0.0000 0.0000 [2 per cell]
Zn 0.0000 0.2042 0.5000 [4 per cell]
Zn 0.0000 0.2480 0.2988 [8 per cell]
Ir 0.0000 0.5000 0.1142 [4 per cell]

Properties
ΔH_f (0 K): -1.69 eV/f.u.
raw total energy: -3.5204 eV/atom
crystal system: orthorhombic

3.
Computed, not measured: a relaxed structure of Tb12Zn6Ir at the GGA-PBE level of DFT.

a = 11.7113 Å, b = 11.7113 Å, c = 13.0993 Å
α = 90.00°, β = 90.00°, γ = 120.00°
Space group R-3 (No. 148, hexagonal axes)
Inequivalent atoms, fractional coordinates:
Tb 0.0289 0.8364 0.3710 [18 per cell]
Tb 0.0404 0.1949 0.8936 [18 per cell]
Zn 0.0045 0.4004 0.7614 [18 per cell]
Ir 0.0000 0.0000 0.5000 [3 per cell]

Properties
ΔH_f (0 K): -3.15 eV/f.u.
raw total energy: -3.9588 eV/atom
crystal system: trigonal

4.
Computed, not measured: a relaxed structure of Tb5ZnIr2 at the GGA-PBE level of DFT.

a = 7.7807 Å, b = 7.7807 Å, c = 13.2260 Å
α = 90.00°, β = 90.00°, γ = 90.00°
Space group I4/mcm (No. 140)
Inequivalent atoms, fractional coordinates:
Tb 0.0000 0.0000 0.0000 [4 per cell]
Tb 0.1612 0.3388 0.1367 [16 per cell]
Zn 0.0000 0.0000 0.2500 [4 per cell]
Ir 0.1395 0.3605 0.5000 [8 per cell]

Properties
ΔH_f (0 K): -4.82 eV/f.u.
raw total energy: -5.8712 eV/atom
crystal system: tetragonal

5.
Computed, not measured: a relaxed structure of Tb2Zn5Ir5 at the GGA-PBE level of DFT.

a = 4.0770 Å, b = 5.5524 Å, c = 9.0751 Å
α = 90.00°, β = 90.00°, γ = 90.00°
Space group Pmmm (No. 47)
Inequivalent atoms, fractional coordinates:
Tb 0.0000 0.0000 0.0000 [1 per cell]
Tb 0.0000 0.5000 0.5000 [1 per cell]
Zn 0.0000 0.0000 0.3299 [2 per cell]
Zn 0.0000 0.5000 0.1702 [2 per cell]
Zn 0.5000 0.0000 0.5000 [1 per cell]
Ir 0.5000 0.2460 0.2516 [4 per cell]
Ir 0.5000 0.5000 0.0000 [1 per cell]

Properties
ΔH_f (0 K): -5.21 eV/f.u.
raw total energy: -5.4285 eV/atom
crystal system: orthorhombic

6.
Computed, not measured: a relaxed structure of Tb7Zn2Ir2 at the GGA-PBE level of DFT.

a = 7.9442 Å, b = 10.7910 Å, c = 7.0725 Å
α = 90.00°, β = 90.00°, γ = 90.00°
Space group Cmmm (No. 65)
Inequivalent atoms, fractional coordinates:
Tb 0.0000 0.0000 0.0000 [2 per cell]
Tb 0.0000 0.5000 0.2525 [4 per cell]
Tb 0.2500 0.2500 0.2582 [8 per cell]
Zn 0.1687 0.0000 0.5000 [4 per cell]
Ir 0.0000 0.2892 0.0000 [4 per cell]

Properties
ΔH_f (0 K): -4.00 eV/f.u.
raw total energy: -5.1525 eV/atom
crystal system: orthorhombic